# 1
VASP calculation (PBE with a Hubbard U) on a relaxed PaCrPb2O6 crystal.

Cell lengths 5.859, 5.859, 4.373 Å; angles 90.00, 90.00, 90.00 degrees
Element x y z (fractional)
Pa1 0.000 0.000 0.000
Cr1 0.500 0.500 0.016
Pb1 0.000 0.500 0.433
Pb2 0.500 0.000 0.433
O1 0.000 0.000 0.508
O2 0.258 0.258 0.054
O3 0.258 0.742 0.054
O4 0.500 0.500 0.546
O5 0.742 0.258 0.054
O6 0.742 0.742 0.054

space-group type = No. 99
final energy = -7.5036 eV per atom

***

# 2
VASP calculation (PBE with a Hubbard U) on a relaxed BaMg6NiO8 crystal.

Cell lengths 4.660, 4.660, 8.778 Å; angles 90.00, 90.00, 90.00 degrees
Element x y z (fractional)
Ba1 0.000 0.000 0.000
Mg1 0.000 0.500 0.267
Mg2 0.000 0.500 0.733
Mg3 0.500 0.000 0.267
Mg4 0.500 0.000 0.733
Mg5 0.500 0.500 0.000
Mg6 0.500 0.500 0.500
Ni1 0.000 0.000 0.500
O1 0.000 0.000 0.282
O2 0.000 0.000 0.718
O3 0.000 0.500 0.000
O4 0.000 0.500 0.500
O5 0.500 0.000 0.000
O6 0.500 0.000 0.500
O7 0.500 0.500 0.253
O8 0.500 0.500 0.747

space-group type = No. 123
final energy = -5.4654 eV per atom
energy relative to the lowest polymorph listed for this composition = 0.00 eV/f.u.
Fermi-level density of states = 0.101 states/eV per atom